Below is a geometry-optimized Zn2SiSb structure, with properties calculated at the PBE level.

Values from the calculation:
**Total energy**: -10.900 eV per cell
**Formation energy without anion corrections**: 298 meV/atom
**Magnetic moment**: 0.00 μB per formula unit
**Excess energy over the best structure of this formula in the dataset**: 125 meV per atom

Cell: 3.028 3.848 6.640 Å, 90.00 90.00 90.00°
Element x y z (fractional)
Zn (0.000, 0.000, 0.000)
Zn (0.500, 0.500, 0.232)
Si (0.500, 0.500, 0.841)
Sb (0.000, 0.000, 0.483)